# Li3Pm2MnO6 (PBE+U, optimized geometry)
data_Li3Pm2MnO6
_chemical_formula_sum 'Li6 Pm4 Mn2 O12'
_cell_length_a 5.723
_cell_length_b 10.276
_cell_length_c 5.362
_cell_angle_alpha 90.00
_cell_angle_beta 107.60
_cell_angle_gamma 90.00
_symmetry_space_group_name_H-M 'C 1 2/m 1'
_symmetry_Int_Tables_number 12
loop_
_symmetry_equiv_pos_as_xyz
'x,y,z'
'-x,-y,-z'
'-x,y,-z'
'x,-y,z'
'x+1/2,y+1/2,z'
'-x+1/2,-y+1/2,-z'
'-x+1/2,y+1/2,-z'
'x+1/2,-y+1/2,z'
loop_
_atom_site_label
_atom_site_type_symbol
_atom_site_fract_x
_atom_site_fract_y
_atom_site_fract_z
Li1 Li 0.000 0.000 0.000
Li2 Li 0.000 0.386 0.000
Pm1 Pm 0.000 0.166 0.500
Mn1 Mn 0.000 0.500 0.500
O1 O 0.202 0.357 0.721
O2 O 0.235 0.000 0.756
# * total DFT energy (no corrections): -6.732 eV per atom